Version i
This record from Alexandria via LeMat-Bulk describes a relaxed TbHo3Pt2 crystal. The functional is PBE-GGA.

## Properties
Magnetic moment (Bohr magnetons per cell): 0.0

Cell: 4.7627 8.7793 7.1407 Å, 90.00 90.00 90.00°
Last column: nearest neighbours and their distance in Å.
Positions (direct):
Tb: 0.0000 0.0823 0.0000  3 Pt 2.83-3.06
Tb: 0.0000 0.9177 0.5000  3 Pt 2.83-3.06
Ho: 0.0000 0.3317 0.6345  4 Pt 2.87-2.94
Ho: 0.0000 0.6683 0.1345  4 Pt 2.87-2.94
Ho: 0.5000 0.1701 0.3472  4 Pt 2.87-2.97
Ho: 0.5000 0.4177 0.9814  3 Pt 2.82-3.05
Ho: 0.5000 0.5823 0.4814  3 Pt 2.82-3.05
Ho: 0.5000 0.8299 0.8472  4 Pt 2.87-2.97
Pt: 0.0000 0.3437 0.2330  1 Tb 2.83, 6 Ho 2.87-3.05
Pt: 0.0000 0.6563 0.7330  1 Tb 2.83, 6 Ho 2.87-3.05
Pt: 0.5000 0.1582 0.7483  5 Ho 2.82-2.97, 2 Tb 3.06
Pt: 0.5000 0.8418 0.2483  5 Ho 2.82-2.97, 2 Tb 3.06

Version ii
This record from Alexandria via LeMat-Bulk describes a relaxed TbHo3Pt2 crystal. The functional is PBE-GGA.

## Properties
Magnetic moment (Bohr magnetons per cell): 0.0

Cell: 8.4229 8.4229 8.4229 Å, 131.68 71.62 130.58°
Last column: nearest neighbours and their distance in Å.
Positions (direct):
Tb: 0.0000 0.0000 0.0000  2 Pt 2.77
Tb: 0.5000 0.5000 0.0000  2 Pt 2.77
Ho: 0.0131 0.2500 0.7631  4 Pt 2.83-2.97
Ho: 0.2500 0.7500 0.5000  4 Pt 2.98
Ho: 0.4869 0.2500 0.2369  4 Pt 2.83-2.97
Ho: 0.5131 0.7500 0.7631  4 Pt 2.83-2.97
Ho: 0.7500 0.2500 0.5000  4 Pt 2.98
Ho: 0.9869 0.7500 0.2369  4 Pt 2.83-2.97
Pt: 0.1403 0.7101 0.8504  1 Tb 2.77, 6 Ho 2.83-2.98
Pt: 0.3597 0.2101 0.5698  1 Tb 2.77, 6 Ho 2.83-2.98
Pt: 0.6403 0.7899 0.4302  1 Tb 2.77, 6 Ho 2.83-2.98
Pt: 0.8597 0.2899 0.1496  1 Tb 2.77, 6 Ho 2.83-2.98

Best to worst by energy: version i, version ii.